# 1
Entry from the Alexandria database: CoTeI2Br at its PBEsol-relaxed geometry (SCAN).

## Properties
Its volume is 36.3 Å³/atom. For the uncorrected formation energy, the calculation gives 1.1479 eV per atom. The calculation puts the magnetic moment at 3.058 μB/cell. The total energy comes out at -141.8 eV per cell.

Lattice parameters (Å, degrees): 5.767 5.767 5.460 90.00 90.00 90.00
Space group P4/mmm (No. 123)
One atom of each set of equivalent atoms:
Co  0.000  0.000  0.000 x1
Te  0.500  0.500  0.000 x1
I  0.000  0.500  0.500 x2
Br  0.500  0.500  0.500 x1

# 2
Entry from the Alexandria database: RbCaNbCl2 at its PBEsol-relaxed geometry (SCAN).

## Properties
Its volume is 36.3 Å³/atom. For the uncorrected formation energy, the calculation gives -0.0680 eV per atom. The calculation puts the magnetic moment at 3.735 μB/cell. The total energy comes out at -79.8 eV per cell.

Lattice parameters (Å, degrees): 5.152 5.152 6.838 90.00 90.00 90.00
Space group P4/mmm (No. 123)
One atom of each set of equivalent atoms:
Rb  0.000  0.000  0.000 x1
Ca  0.500  0.500  0.000 x1
Nb  0.000  0.000  0.500 x1
Cl  0.000  0.500  0.500 x2

# 3
Entry from the Alexandria database: Sc2MnP at its PBEsol-relaxed geometry (SCAN).

## Properties
Its volume is 16.8 Å³/atom. The calculation puts the magnetic moment at 5.043 μB/cell. The total energy comes out at -121.5 eV per cell. For the formation enthalpy at 0 K, the calculation gives -87.1 kJ per mole of atoms.

Lattice parameters (Å, degrees): 3.811 3.578 9.859 90.00 90.00 90.00
Space group Amm2 (No. 38)
One atom of each set of equivalent atoms:
Sc  0.000  0.000  0.000 x2
Sc  0.500  0.000  0.289 x2
Mn  0.000  0.000  0.716 x2
P  0.500  0.000  0.573 x2